LaZrRe2 GGA-PBEsol optimized geometry; E_form = 0.306 eV per atom; DFT total energy = -9.97 eV per atom; symmetry = Pm; V = 20.7 A^3/atom
1.0
-1.722 2.278 -0.936
-2.973 -1.178 2.602
3.226 3.098 5.090
La Re Zr
1 2 1
Direct
0.575 0.500 0.783
0.067 0.000 0.066
0.449 0.500 0.215
0.909 0.000 0.436



LaZrRe2 GGA-PBEsol optimized geometry; E_form = 0.399 eV per atom; DFT total energy = -9.88 eV per atom; symmetry = Cmm2; V = 19.3 A^3/atom
1.0
2.904 0.000 0.000
-1.079 2.696 0.000
0.000 0.000 9.864
La Re Zr
1 2 1
Direct
0.500 0.500 0.222
0.000 0.000 0.968
0.500 0.500 0.766
0.000 0.000 0.544



LaZr2Re GGA-PBEsol optimized geometry; E_form = 0.328 eV per atom; DFT total energy = -8.89 eV per atom; symmetry = C2/m; V = 20.5 A^3/atom
1.0
3.047 0.006 0.010
-0.955 5.531 0.022
-0.955 -2.677 4.841
La Re Zr
1 1 2
Direct
0.500 0.000 0.000
0.500 0.500 0.500
0.000 0.500 0.000
0.000 0.000 0.500



LaZrRe2 GGA-PBEsol optimized geometry; E_form = 0.435 eV per atom; DFT total energy = -9.84 eV per atom; symmetry = Immm; V = 18.3 A^3/atom
1.0
3.223 0.000 0.000
0.000 4.892 0.000
-1.612 -2.446 4.652
La Re Zr
1 2 1
Direct
0.500 0.000 0.000
0.750 0.750 0.500
0.250 0.250 0.500
0.000 0.500 0.000



LaZrRe2 GGA-PBEsol optimized geometry; E_form = 0.538 eV per atom; DFT total energy = -9.74 eV per atom; symmetry = C2/m; V = 20.6 A^3/atom
1.0
-1.565 -2.600 0.592
2.693 1.038 3.604
-4.695 3.312 2.135
La Re Zr
1 2 1
Direct
0.000 0.000 0.500
0.763 0.526 0.814
0.237 0.474 0.186
0.500 0.000 0.000



LaZrRe2 GGA-PBEsol optimized geometry; E_form = 0.328 eV per atom; DFT total energy = -9.95 eV per atom; symmetry = F-43m; V = 18.3 A^3/atom
1.0
-1.486 -4.399 -0.720
-0.665 -2.882 3.650
-4.356 -1.242 1.249
La Re Zr
1 2 1
Direct
0.500 0.500 0.500
0.000 0.000 0.000
0.750 0.750 0.750
0.250 0.250 0.250